# 1
Here is an optimized crystal structure of HoI3Br from the Alexandria database. Energies are from PBE.

Structure (CIF):
```
data_HoI3Br
_chemical_formula_sum 'Ho4 I12 Br4'
_cell_length_a 12.965
_cell_length_b 7.361
_cell_length_c 8.729
_cell_angle_alpha 90.00
_cell_angle_beta 90.00
_cell_angle_gamma 90.00
_space_group_name_H-M_alt 'I m a 2'
_space_group_IT_number 46
loop_
_space_group_symop_operation_xyz
'x,y,z'
'-x,-y,z'
'-x+1/2,y,z'
'x+1/2,-y,z'
'x+1/2,y+1/2,z+1/2'
'-x+1/2,-y+1/2,z+1/2'
'-x,y+1/2,z+1/2'
'x,-y+1/2,z+1/2'
loop_
_atom_site_label
_atom_site_fract_x
_atom_site_fract_y
_atom_site_fract_z
_atom_site_occupancy
Ho1 0.250 0.236 0.000 1
I1 0.014 0.230 0.001 1
I2 0.250 0.532 0.238 1
Br1 0.250 0.013 0.260 1
```

Results
Mass density ... 4.988 g/cm³
Uncorrected formation energy ... -1.099 eV per atom
Total moment ... 0.00 μB per formula unit
Uncorrected energy ... -3.28 eV/atom

# 2
Here is an optimized crystal structure of HoIn5Br8 from the Alexandria database. Energies are from PBE.

Structure (CIF):
```
data_HoIn5Br8
_chemical_formula_sum 'Ho2 In10 Br16'
_cell_length_a 9.650
_cell_length_b 9.650
_cell_length_c 10.109
_cell_angle_alpha 90.00
_cell_angle_beta 90.00
_cell_angle_gamma 90.00
_space_group_name_H-M_alt 'I -4'
_space_group_IT_number 82
loop_
_space_group_symop_operation_xyz
'x,y,z'
'y,-x,-z'
'-x,-y,z'
'-y,x,-z'
'x+1/2,y+1/2,z+1/2'
'y+1/2,-x+1/2,-z+1/2'
'-x+1/2,-y+1/2,z+1/2'
'-y+1/2,x+1/2,-z+1/2'
loop_
_atom_site_label
_atom_site_fract_x
_atom_site_fract_y
_atom_site_fract_z
_atom_site_occupancy
Ho1 0.000 0.000 0.000 1
In1 0.000 0.500 0.250 1
In2 0.127 0.765 0.623 1
Br1 0.063 0.829 0.255 1
Br2 0.072 0.721 0.926 1
```

Results
Mass density ... 4.862 g/cm³
Uncorrected formation energy ... -0.963 eV per atom
Total moment ... 0.00 μB per formula unit
Uncorrected energy ... -3.22 eV/atom

# 3
Here is an optimized crystal structure of HoInBr2 from the Alexandria database. Energies are from PBE.

Structure (CIF):
```
data_HoInBr2
_chemical_formula_sum 'Ho3 In3 Br6'
_cell_length_a 3.9144
_cell_length_b 3.9144
_cell_length_c 31.0758
_cell_angle_alpha 90.00
_cell_angle_beta 90.00
_cell_angle_gamma 120.00
_space_group_name_H-M_alt 'R -3 m'
_space_group_IT_number 166
_space_group_name_Hall '-R 3 2"'
loop_
_atom_site_label
_atom_site_fract_x
_atom_site_fract_y
_atom_site_fract_z
_atom_site_occupancy
Ho1 0.0000 0.0000 0.0000 1
In1 0.0000 0.0000 0.5000 1
Br1 0.0000 0.0000 0.0870 1
```

Results
Mass density ... 5.310 g/cm³
Uncorrected formation energy ... -0.699 eV per atom
Total moment ... 0.00 μB per formula unit
Uncorrected energy ... -3.36 eV/atom

# 4
Here is an optimized crystal structure of HoIn3Br6 from the Alexandria database. Energies are from PBE.

Structure (CIF):
```
data_HoIn3Br6
_chemical_formula_sum 'Ho2 In6 Br12'
_cell_length_a 7.619
_cell_length_b 8.681
_cell_length_c 13.151
_cell_angle_alpha 90.00
_cell_angle_beta 121.33
_cell_angle_gamma 90.00
_space_group_name_H-M_alt 'P 1 21/c 1'
_space_group_IT_number 14
loop_
_space_group_symop_operation_xyz
'x,y,z'
'-x,-y,-z'
'-x,y+1/2,-z+1/2'
'x,-y+1/2,z+1/2'
loop_
_atom_site_label
_atom_site_fract_x
_atom_site_fract_y
_atom_site_fract_z
_atom_site_occupancy
Ho1 0.000 0.000 0.000 1
In1 0.303 0.081 0.775 1
In2 0.500 0.000 0.500 1
Br1 0.093 0.067 0.231 1
Br2 0.239 0.732 0.082 1
Br3 0.348 0.163 0.040 1
```

Results
Mass density ... 4.420 g/cm³
Uncorrected formation energy ... -1.151 eV per atom
Total moment ... 0.00 μB per formula unit
Uncorrected energy ... -3.43 eV/atom

# 5
Here is an optimized crystal structure of HoIn4Br7 from the Alexandria database. Energies are from PBE.

Structure (CIF):
```
data_HoIn4Br7
_chemical_formula_sum 'Ho2 In8 Br14'
_cell_length_a 21.735
_cell_length_b 5.485
_cell_length_c 7.902
_cell_angle_alpha 90.00
_cell_angle_beta 107.70
_cell_angle_gamma 90.00
_space_group_name_H-M_alt 'C 1 2/m 1'
_space_group_IT_number 12
loop_
_space_group_symop_operation_xyz
'x,y,z'
'-x,-y,-z'
'-x,y,-z'
'x,-y,z'
'x+1/2,y+1/2,z'
'-x+1/2,-y+1/2,-z'
'-x+1/2,y+1/2,-z'
'x+1/2,-y+1/2,z'
loop_
_atom_site_label
_atom_site_fract_x
_atom_site_fract_y
_atom_site_fract_z
_atom_site_occupancy
Ho1 0.000 0.000 0.000 1
In1 0.082 0.500 0.633 1
In2 0.192 0.500 0.256 1
Br1 0.000 0.500 0.000 1
Br2 0.081 0.000 0.349 1
Br3 0.110 0.000 0.885 1
Br4 0.222 0.500 0.664 1
```

Results
Mass density ... 4.379 g/cm³
Uncorrected formation energy ... -1.040 eV per atom
Total moment ... 0.00 μB per formula unit
Uncorrected energy ... -3.31 eV/atom

# 6
Here is an optimized crystal structure of K2HoInBr6 from the Alexandria database. Energies are from PBE.

Structure (CIF):
```
data_K2HoInBr6
_chemical_formula_sum 'K6 Ho3 In3 Br18'
_cell_length_a 8.0748
_cell_length_b 8.0748
_cell_length_c 20.9496
_cell_angle_alpha 90.00
_cell_angle_beta 90.00
_cell_angle_gamma 120.00
_space_group_name_H-M_alt 'R 3'
_space_group_IT_number 146
_space_group_name_Hall 'R 3'
loop_
_atom_site_label
_atom_site_fract_x
_atom_site_fract_y
_atom_site_fract_z
_atom_site_occupancy
K1 0.0000 0.0000 0.0000 1
K2 0.0000 0.0000 0.4889 1
Ho1 0.0000 0.0000 0.6962 1
In1 0.0000 0.0000 0.2060 1
Br1 0.0236 0.4007 0.4352 1
Br2 0.0708 0.6926 0.2800 1
```

Results
Mass density ... 3.526 g/cm³
Uncorrected formation energy ... -1.597 eV per atom
Total moment ... 0.00 μB per formula unit
Uncorrected energy ... -3.55 eV/atom

# 7
Here is an optimized crystal structure of KHoIn2Br6 from the Alexandria database. Energies are from PBE.

Structure (CIF):
```
data_KHoIn2Br6
_chemical_formula_sum 'K1 Ho1 In2 Br6'
_cell_length_a 8.102
_cell_length_b 8.109
_cell_length_c 8.360
_cell_angle_alpha 90.02
_cell_angle_beta 118.98
_cell_angle_gamma 119.97
_space_group_name_H-M_alt 'P 1'
_space_group_IT_number 1
loop_
_space_group_symop_operation_xyz
'x,y,z'
loop_
_atom_site_label
_atom_site_fract_x
_atom_site_fract_y
_atom_site_fract_z
_atom_site_occupancy
K1 0.000 0.000 0.000 1
Ho1 0.985 0.493 0.478 1
In1 0.582 0.291 0.873 1
In2 0.594 0.797 0.390 1
Br1 0.077 0.388 0.222 1
Br2 0.080 0.253 0.693 1
Br3 0.440 0.828 0.693 1
Br4 0.533 0.146 0.222 1
Br5 0.835 0.689 0.222 1
Br6 0.865 0.613 0.692 1
```

Results
Mass density ... 3.845 g/cm³
Uncorrected formation energy ... -1.374 eV per atom
Total moment ... 0.00 μB per formula unit
Uncorrected energy ... -3.49 eV/atom

# 8
Here is an optimized crystal structure of Li2HoInBr6 from the Alexandria database. Energies are from PBE.

Structure (CIF):
```
data_Li2HoInBr6
_chemical_formula_sum 'Li6 Ho3 In3 Br18'
_cell_length_a 7.2710
_cell_length_b 7.2710
_cell_length_c 19.9780
_cell_angle_alpha 90.00
_cell_angle_beta 90.00
_cell_angle_gamma 120.00
_space_group_name_H-M_alt 'R 3'
_space_group_IT_number 146
_space_group_name_Hall 'R 3'
loop_
_atom_site_label
_atom_site_fract_x
_atom_site_fract_y
_atom_site_fract_z
_atom_site_occupancy
Li1 0.0000 0.0000 0.0000 1
Li2 0.0000 0.0000 0.4905 1
Ho1 0.0000 0.0000 0.6845 1
In1 0.0000 0.0000 0.2032 1
Br1 0.0065 0.3384 0.0861 1
Br2 0.0093 0.5932 0.2600 1
```

Results
Mass density ... 4.211 g/cm³
Uncorrected formation energy ... -1.465 eV per atom
Total moment ... 0.00 μB per formula unit
Uncorrected energy ... -3.58 eV/atom

# 9
Here is an optimized crystal structure of LiHoIn2Br6 from the Alexandria database. Energies are from PBE.

Structure (CIF):
```
data_LiHoIn2Br6
_chemical_formula_sum 'Li2 Ho2 In4 Br12'
_cell_length_a 7.537
_cell_length_b 7.873
_cell_length_c 13.094
_cell_angle_alpha 90.00
_cell_angle_beta 124.69
_cell_angle_gamma 90.00
_space_group_name_H-M_alt 'P 1 21/c 1'
_space_group_IT_number 14
loop_
_space_group_symop_operation_xyz
'x,y,z'
'-x,-y,-z'
'-x,y+1/2,-z+1/2'
'x,-y+1/2,z+1/2'
loop_
_atom_site_label
_atom_site_fract_x
_atom_site_fract_y
_atom_site_fract_z
_atom_site_occupancy
Li1 0.000 0.000 0.000 1
Ho1 0.500 0.000 0.500 1
In1 0.223 0.077 0.744 1
Br1 0.157 0.200 0.457 1
Br2 0.258 0.705 0.456 1
Br3 0.336 0.015 0.248 1
```

Results
Mass density ... 4.579 g/cm³
Uncorrected formation energy ... -1.314 eV per atom
Total moment ... 0.00 μB per formula unit
Uncorrected energy ... -3.51 eV/atom

# 10
Here is an optimized crystal structure of HoMgInBr6 from the Alexandria database. Energies are from PBE.

Structure (CIF):
```
data_HoMgInBr6
_chemical_formula_sum 'Ho2 Mg2 In2 Br12'
_cell_length_a 7.1451
_cell_length_b 7.1451
_cell_length_c 14.5225
_cell_angle_alpha 90.00
_cell_angle_beta 90.00
_cell_angle_gamma 120.00
_space_group_name_H-M_alt 'P -3 1 c'
_space_group_IT_number 163
_space_group_name_Hall '-P 3 2c'
loop_
_atom_site_label
_atom_site_fract_x
_atom_site_fract_y
_atom_site_fract_z
_atom_site_occupancy
Ho1 0.3333 0.6667 0.2500 1
Mg1 0.3333 0.6667 0.7500 1
In1 0.0000 0.0000 0.0000 1
Br1 0.0096 0.3759 0.6411 1
```

Results
Mass density ... 4.052 g/cm³
Uncorrected formation energy ... -1.472 eV per atom
Total moment ... 0.00 μB per formula unit
Uncorrected energy ... -3.58 eV/atom

# 11
Here is an optimized crystal structure of HoMnInBr6 from the Alexandria database. Energies are from PBE.

Structure (CIF):
```
data_HoMnInBr6
_chemical_formula_sum 'Ho2 Mn2 In2 Br12'
_cell_length_a 7.1213
_cell_length_b 7.1213
_cell_length_c 14.5607
_cell_angle_alpha 90.00
_cell_angle_beta 90.00
_cell_angle_gamma 120.00
_space_group_name_H-M_alt 'P -3 1 c'
_space_group_IT_number 163
_space_group_name_Hall '-P 3 2c'
loop_
_atom_site_label
_atom_site_fract_x
_atom_site_fract_y
_atom_site_fract_z
_atom_site_occupancy
Ho1 0.3333 0.6667 0.2500 1
Mn1 0.3333 0.6667 0.7500 1
In1 0.0000 0.0000 0.0000 1
Br1 0.0101 0.3746 0.6414 1
```

Results
Mass density ... 4.228 g/cm³
Uncorrected formation energy ... -1.242 eV per atom
Total moment ... 5.00 μB per formula unit
Uncorrected energy ... -4.19 eV/atom

# 12
Here is an optimized crystal structure of Na2HoInBr6 from the Alexandria database. Energies are from PBE.

Structure (CIF):
```
data_Na2HoInBr6
_chemical_formula_sum 'Na6 Ho3 In3 Br18'
_cell_length_a 7.5778
_cell_length_b 7.5778
_cell_length_c 20.7928
_cell_angle_alpha 90.00
_cell_angle_beta 90.00
_cell_angle_gamma 120.00
_space_group_name_H-M_alt 'R 3'
_space_group_IT_number 146
_space_group_name_Hall 'R 3'
loop_
_atom_site_label
_atom_site_fract_x
_atom_site_fract_y
_atom_site_fract_z
_atom_site_occupancy
Na1 0.0000 0.0000 0.0000 1
Na2 0.0000 0.0000 0.4852 1
Ho1 0.0000 0.0000 0.6782 1
In1 0.0000 0.0000 0.1947 1
Br1 0.0089 0.3185 0.7490 1
Br2 0.0285 0.6313 0.2590 1
```

Results
Mass density ... 3.879 g/cm³
Uncorrected formation energy ... -1.503 eV per atom
Total moment ... 0.00 μB per formula unit
Uncorrected energy ... -3.50 eV/atom

# 13
Here is an optimized crystal structure of HoInPb2Br8 from the Alexandria database. Energies are from PBE.

Structure (CIF):
```
data_HoInPb2Br8
_chemical_formula_sum 'Ho1 In1 Pb2 Br8'
_cell_length_a 6.855
_cell_length_b 9.214
_cell_length_c 7.236
_cell_angle_alpha 90.00
_cell_angle_beta 90.91
_cell_angle_gamma 90.00
_space_group_name_H-M_alt 'P 1 2/m 1'
_space_group_IT_number 10
loop_
_space_group_symop_operation_xyz
'x,y,z'
'-x,-y,-z'
'-x,y,-z'
'x,-y,z'
loop_
_atom_site_label
_atom_site_fract_x
_atom_site_fract_y
_atom_site_fract_z
_atom_site_occupancy
Ho1 0.000 0.000 0.000 1
In1 0.000 0.500 0.000 1
Pb1 0.500 0.250 0.500 1
Br1 0.236 0.218 0.155 1
Br2 0.238 0.000 0.683 1
Br3 0.270 0.500 0.639 1
```

Results
Mass density ... 4.845 g/cm³
Uncorrected formation energy ... -1.170 eV per atom
Total moment ... 0.00 μB per formula unit
Uncorrected energy ... -3.51 eV/atom

# 14
Here is an optimized crystal structure of HoInPbBr6 from the Alexandria database. Energies are from PBE.

Structure (CIF):
```
data_HoInPbBr6
_chemical_formula_sum 'Ho2 In2 Pb2 Br12'
_cell_length_a 7.6071
_cell_length_b 7.6071
_cell_length_c 14.1550
_cell_angle_alpha 90.00
_cell_angle_beta 90.00
_cell_angle_gamma 120.00
_space_group_name_H-M_alt 'P -3 1 c'
_space_group_IT_number 163
_space_group_name_Hall '-P 3 2c'
loop_
_atom_site_label
_atom_site_fract_x
_atom_site_fract_y
_atom_site_fract_z
_atom_site_occupancy
Ho1 0.3333 0.6667 0.2500 1
In1 0.0000 0.0000 0.0000 1
Pb1 0.3333 0.6667 0.7500 1
Br1 0.0249 0.3759 0.1344 1
```

Results
Mass density ... 4.524 g/cm³
Uncorrected formation energy ... -1.297 eV per atom
Total moment ... 0.00 μB per formula unit
Uncorrected energy ... -3.64 eV/atom

# 15
Here is an optimized crystal structure of RbHoIn2Br6 from the Alexandria database. Energies are from PBE.

Structure (CIF):
```
data_RbHoIn2Br6
_chemical_formula_sum 'Rb3 Ho3 In6 Br18'
_cell_length_a 8.1865
_cell_length_b 8.1865
_cell_length_c 21.2143
_cell_angle_alpha 90.00
_cell_angle_beta 90.00
_cell_angle_gamma 120.00
_space_group_name_H-M_alt 'R 3'
_space_group_IT_number 146
_space_group_name_Hall 'R 3'
loop_
_atom_site_label
_atom_site_fract_x
_atom_site_fract_y
_atom_site_fract_z
_atom_site_occupancy
Rb1 0.0000 0.0000 0.0000 1
Ho1 0.0000 0.0000 0.4899 1
In1 0.0000 0.0000 0.2915 1
In2 0.0000 0.0000 0.7996 1
Br1 0.0010 0.7313 0.4056 1
Br2 0.0297 0.3970 0.2268 1
```

Results
Mass density ... 3.881 g/cm³
Uncorrected formation energy ... -1.376 eV per atom
Total moment ... 0.00 μB per formula unit
Uncorrected energy ... -3.48 eV/atom

# 16
Here is an optimized crystal structure of Rb2HoInBr6 from the Alexandria database. Energies are from PBE.

Structure (CIF):
```
data_Rb2HoInBr6
_chemical_formula_sum 'Rb4 Ho2 In2 Br12'
_cell_length_a 8.019
_cell_length_b 8.524
_cell_length_c 14.020
_cell_angle_alpha 90.00
_cell_angle_beta 124.40
_cell_angle_gamma 90.00
_space_group_name_H-M_alt 'P 1 21/c 1'
_space_group_IT_number 14
loop_
_space_group_symop_operation_xyz
'x,y,z'
'-x,-y,-z'
'-x,y+1/2,-z+1/2'
'x,-y+1/2,z+1/2'
loop_
_atom_site_label
_atom_site_fract_x
_atom_site_fract_y
_atom_site_fract_z
_atom_site_occupancy
Rb1 0.222 0.076 0.249 1
Ho1 0.500 0.000 0.000 1
In1 0.000 0.000 0.500 1
Br1 0.165 0.178 0.949 1
Br2 0.270 0.723 0.941 1
Br3 0.380 0.035 0.771 1
```

Results
Mass density ... 3.906 g/cm³
Uncorrected formation energy ... -1.617 eV per atom
Total moment ... 0.00 μB per formula unit
Uncorrected energy ... -3.55 eV/atom